LiLaDy2 | PBE | optimized geometry

Cell and atoms, written as CIF:
```
data_LiLaDy2
_chemical_formula_sum 'Li1 La1 Dy2'
_symmetry_space_group_name_H-M 'P 1'
_symmetry_Int_Tables_number 1
_symmetry_space_group_name_Hall 'P 1'
_cell_length_a 3.710
_cell_length_b 5.713
_cell_length_c 5.713
_cell_angle_alpha 90.00
_cell_angle_beta 90.00
_cell_angle_gamma 90.00
loop_
_atom_site_label
_atom_site_fract_x
_atom_site_fract_y
_atom_site_fract_z
La1 0.500 0.500 0.500
Li1 0.500 0.000 0.000
Dy1 0.000 0.000 0.500
Dy2 0.000 0.500 0.000
```

Properties
Energy of formation from the pure elements ... 190.8 meV/atom
DOS at the Fermi energy ... 7.60 states/eV/f.u.
ΔE to the lowest computed polymorph ... 105 meV/atom
Electronic total energy ... -3.82 eV per atom